A relaxed SiPAuCl2 crystal. Source: the Alexandria database, functional PBE.

Computed properties:
Relative energy among the computed polymorphs in eV per atom: 0.406
Crystal system: tetragonal
DFT total energy in eV per atom: -2.84
Formation energy (no corrections) in meV per atom: 724
Fermi-level density of states in states/eV/atom: 0.676

Unit cell a=4.894 b=4.894 c=5.009 alpha=90.00 beta=90.00 gamma=90.00
Positions (direct):
Si1 0.000 0.000 0.000
P1 0.500 0.500 0.000
Au1 0.500 0.500 0.500
Cl1 0.000 0.500 0.500
Cl2 0.500 0.000 0.500